(1)
CePm2NpN4 | GGA-PBE | optimized geometry

The structure in extended XYZ format:
```
8
Lattice="3.5487 0.0000 0.0000 0.0000 6.1471 0.1152 0.0000 -2.1418 5.7757" Properties=species:S:1:pos:R:3 pbc="T T T"
Ce 0.0000 0.0000 0.0000
Pm 1.7744 -1.0709 2.8878
Pm 0.0000 2.0027 2.9454
Np 1.7744 3.0736 0.0576
N 1.7744 1.0816 1.3604
N 1.7744 2.9238 4.5305
N 0.0000 -0.0065 4.4980
N 0.0000 4.0118 1.3929
```

## Properties
E (eV/atom): -9.092
Crystal system: monoclinic


(2)
Be2Co2Ru | GGA-PBE | optimized geometry

The structure in extended XYZ format:
```
10
Lattice="6.1791 0.0000 0.0000 0.0000 6.1791 0.0000 0.0000 0.0000 2.5880" Properties=species:S:1:pos:R:3 pbc="T T T"
Ru 0.0000 0.0000 0.0000
Ru 3.0896 3.0896 0.0000
Co 1.0446 4.1342 1.2940
Co 4.1342 5.1345 1.2940
Co 5.1345 2.0449 1.2940
Co 2.0449 1.0446 1.2940
Be 2.3162 5.4058 0.0000
Be 5.4058 3.8629 0.0000
Be 3.8629 0.7733 0.0000
Be 0.7733 2.3162 0.0000
```

## Properties
Offset from the most stable computed form (meV/atom): 0.0
E (eV/atom): -6.346
Crystal system: tetragonal


(3)
YBePt3 | GGA-PBE | optimized geometry

The structure in extended XYZ format:
```
10
Lattice="3.3409 -1.9289 0.0000 0.0000 3.8577 0.0000 0.0000 0.0000 15.3746" Properties=species:S:1:pos:R:3 pbc="T T T"
Y 0.0000 0.0000 0.0000
Y 0.0000 0.0000 7.6873
Be 1.1136 1.9289 11.5309
Be 2.2273 0.0000 3.8436
Pt 0.0000 0.0000 3.8436
Pt 0.0000 0.0000 11.5309
Pt 1.1136 1.9289 13.6531
Pt 1.1136 1.9289 9.4088
Pt 2.2273 0.0000 5.9658
Pt 2.2273 0.0000 1.7215
```

## Properties
Offset from the most stable computed form (meV/atom): 697.9
E (eV/atom): -5.921
Crystal system: hexagonal


(4)
Ho5ZnAu4 | GGA-PBE | optimized geometry

The structure in extended XYZ format:
```
10
Lattice="3.5695 0.0000 0.0000 0.0000 3.5695 0.0000 0.0000 0.0000 17.9429" Properties=species:S:1:pos:R:3 pbc="T T T"
Ho 1.7848 1.7848 1.7633
Ho 1.7848 1.7848 5.3504
Ho 1.7848 1.7848 8.9715
Ho 1.7848 1.7848 12.5925
Ho 1.7848 1.7848 16.1796
Zn 0.0000 0.0000 0.0000
Au 0.0000 0.0000 3.5170
Au 0.0000 0.0000 7.1671
Au 0.0000 0.0000 10.7758
Au 0.0000 0.0000 14.4260
```

## Properties
E (eV/atom): -4.500
Crystal system: tetragonal


(5)
BeSiP2 | GGA-PBE | optimized geometry

The structure in extended XYZ format:
```
4
Lattice="3.4037 0.0000 0.0000 0.0000 3.3983 0.0000 0.0000 0.0000 4.8057" Properties=species:S:1:pos:R:3 pbc="T T T"
P 0.0000 0.0000 4.2048
P 1.7019 1.6991 1.8031
Si 0.0000 0.0000 1.8015
Be 1.7019 1.6991 4.2048
```

## Properties
Offset from the most stable computed form (meV/atom): 508.9
E (eV/atom): -4.862
Crystal system: tetragonal


(6)
IrOs2I | GGA-PBE | optimized geometry

The structure in extended XYZ format:
```
8
Lattice="-0.9631 -2.9766 -5.2895 6.0335 -1.0519 -0.5066 1.9963 -6.3191 -0.3774" Properties=species:S:1:pos:R:3 pbc="T T T"
I 2.5352 -2.0142 -2.8980
I 5.2825 -4.6927 -1.8910
Ir 0.0000 0.0000 0.0000
Ir 1.7842 -5.6550 -4.2825
Os 0.6214 -3.6642 -3.6281
Os 4.1796 -2.5168 -0.9077
Os 3.2111 -6.2173 -2.4408
Os 6.1214 -8.2970 -5.3704
```

## Properties
Offset from the most stable computed form (meV/atom): 17.9
E (eV/atom): -6.764
Crystal system: tetragonal


(7)
In2SiN | GGA-PBE | optimized geometry

The structure in extended XYZ format:
```
12
Lattice="3.0312 0.0000 0.0000 -1.5156 2.6251 0.0000 0.0000 0.0000 27.0469" Properties=species:S:1:pos:R:3 pbc="T T T"
In 0.0000 0.0000 10.8116
In 0.0000 1.7501 1.7959
In 1.5156 0.8750 19.8272
In 0.0000 0.0000 7.7625
In 0.0000 1.7501 25.7938
In 1.5156 0.8750 16.7781
Si 0.0000 0.0000 13.4954
Si 0.0000 1.7501 4.4798
Si 1.5156 0.8750 22.5110
N 0.0000 0.0000 5.1371
N 0.0000 1.7501 23.1683
N 1.5156 0.8750 14.1527
```

## Properties
Offset from the most stable computed form (meV/atom): 0.0
E (eV/atom): -4.940
Crystal system: trigonal


(8)
CuNiGeI2 | GGA-PBE | optimized geometry

The structure in extended XYZ format:
```
5
Lattice="-5.0385 0.2275 -2.9416 2.1445 -1.1921 -3.7654 -0.9709 -5.6250 1.2279" Properties=species:S:1:pos:R:3 pbc="T T T"
I -0.4855 -2.8125 0.6140
I -2.5193 0.1138 -1.4708
Ni -1.9325 -3.2948 -2.7396
Ge 0.0000 0.0000 0.0000
Cu 1.0723 -0.5961 -1.8827
```

## Properties
E (eV/atom): -2.715
Crystal system: tetragonal


(9)
GaSbPb2 | GGA-PBE | optimized geometry

The structure in extended XYZ format:
```
4
Lattice="-0.2154 2.0569 -3.4697 0.0117 -3.4743 -2.0604 -6.9570 -0.2069 0.3093" Properties=species:S:1:pos:R:3 pbc="T T T"
Pb -5.2211 -0.1552 0.2321
Pb -1.7358 -0.0516 0.0772
Sb -3.5803 -0.8121 -2.6104
Ga -0.1019 -0.7087 -2.7650
```

## Properties
Offset from the most stable computed form (meV/atom): 27.9
E (eV/atom): -3.556
Crystal system: tetragonal


(10)
TmMgNi2H6 | GGA-PBE | optimized geometry

The structure in extended XYZ format:
```
10
Lattice="4.3399 0.0000 0.0000 2.1700 3.7585 0.0000 2.1700 1.2528 5.0900" Properties=species:S:1:pos:R:3 pbc="T T T"
Tm 0.0000 0.0000 0.0000
Mg 4.3399 2.5057 2.5450
Ni 6.5099 3.7585 3.2297
Ni 2.1700 1.2528 1.8603
H 3.2449 3.1387 4.1454
H 4.3392 1.2409 4.1454
H 3.2442 1.8739 0.9445
H 5.4349 1.8726 0.9445
H 4.3406 3.7704 0.9445
H 5.4356 3.1374 4.1454
```

## Properties
E (eV/atom): -4.046
Crystal system: trigonal


(11)
InTeS2Cl | GGA-PBE | optimized geometry

The structure in extended XYZ format:
```
5
Lattice="-4.5421 2.2540 -1.0312 -0.3723 -2.7486 -4.3682 -2.5556 -3.9214 2.6852" Properties=species:S:1:pos:R:3 pbc="T T T"
Cl -1.2778 -1.9607 1.3426
S -0.1861 -1.3743 -2.1841
S -2.2710 1.1270 -0.5156
Te 0.0000 0.0000 0.0000
In -3.7350 -2.2080 -1.3570
```

## Properties
Offset from the most stable computed form (meV/atom): 0.0
E (eV/atom): -3.218
Crystal system: tetragonal


- Among the records above, which one has the highest E?
  CuNiGeI2